VPbO3: optimized geometry, PBE+U.

a b c (Å): 4.2232 4.2232 4.2232
angles (deg): 90.00 90.00 90.00
Closest atoms and distances in Å follow each position.
Fractional coordinates of all 5 atoms:
V: 0.0000 0.0000 0.0000  12 O 2.99
Pb: 0.5000 0.5000 0.5000  6 O 2.11
O: 0.0000 0.5000 0.5000  2 Pb 2.11
O: 0.5000 0.0000 0.5000  2 Pb 2.11
O: 0.5000 0.5000 0.0000  2 Pb 2.11

Properties
SG = No. 221
Magnetization = 0.582 μB/atom
Final energy = -5.438 eV/atom